[1]
Here is a geometry-optimized Ti4HN2O structure from Alexandria. Energies are from PBE.

For the total energy, the calculation gives -69.6 eV for the cell shown. The total magnetic moment comes out at 0.0 μB/cell.

a = 5.1531 Å, b = 2.9922 Å, c = 5.2597 Å
α = 90.00°, β = 109.34°, γ = 90.00°
Space group P2/m (No. 10)
Unique sites:
Ti 0.2348 0.0000 0.2391 x2
Ti 0.2435 0.5000 0.7463 x2
H 0.5000 0.0000 0.0000 x1
N 0.0000 0.0000 0.5000 x1
N 0.0000 0.5000 0.0000 x1
O 0.5000 0.5000 0.5000 x1

***

[2]
Here is a geometry-optimized Ti6H3N2O structure from Alexandria. Energies are from PBE.

For the total energy, the calculation gives -187.7 eV for the cell shown. The total magnetic moment comes out at 0.0 μB/cell.

a = 5.1738 Å, b = 8.9784 Å, c = 5.1873 Å
α = 90.00°, β = 109.63°, γ = 90.00°
Space group C2/m (No. 12)
Unique sites:
Ti 0.2456 0.0000 0.2440 x4
Ti 0.2490 0.3318 0.2421 x8
H 0.0000 0.0000 0.5000 x2
H 0.0000 0.3323 0.5000 x4
N 0.0000 0.1663 0.0000 x4
O 0.0000 0.5000 0.0000 x2

***

[3]
Here is a geometry-optimized TiHNO2 structure from Alexandria. Energies are from PBE.

For the total energy, the calculation gives -29.8 eV for the cell shown. The total magnetic moment comes out at 0.0 μB/cell.

a = 3.6784 Å, b = 3.6784 Å, c = 2.6358 Å
α = 90.00°, β = 90.00°, γ = 90.00°
Space group P4/mmm (No. 123)
Unique sites:
Ti 0.0000 0.0000 0.0000 x1
H 0.5000 0.5000 0.5000 x1
N 0.5000 0.5000 0.0000 x1
O 0.0000 0.5000 0.5000 x2